[1]
Density functional theory data (PBE-GGA) for a geometry-optimized F structure.

a = 4.4281 Å, b = 4.4281 Å, c = 4.4281 Å
α = 90.00°, β = 90.00°, γ = 90.00°
Space group Pm-3n (No. 223)
One atom of each set of equivalent atoms:
1 F 0.0000 0.0000 0.0000 x2
2 F 0.0000 0.2500 0.5000 x6

Calculated values
Raw formation energy in meV per atom: 728

[2]
Density functional theory data (PBE-GGA) for a geometry-optimized F structure.

a = 5.7344 Å, b = 3.2784 Å, c = 6.0415 Å
α = 90.00°, β = 103.74°, γ = 90.00°
Space group C2/c (No. 15)
One atom of each set of equivalent atoms:
1 F 0.2400 0.0272 0.2105 x8

Calculated values
Raw formation energy in meV per atom: 224